## a
Computed, not measured: a geometry-optimized BeVCoO structure at the GGA+U level of DFT.

```
BeVCoO
1.0
1.359 0.785 6.581
-1.359 0.785 6.581
0.000 -1.569 6.581
Be V Co O
1 1 1 1
Cartesian
0.000 0.000 0.000
0.000 0.000 10.364
0.000 0.000 14.856
0.000 0.000 18.200
```

Values from the calculation:
Fermi-level density of states: 0.61 states/eV/f.u.

---

## b
Computed, not measured: a geometry-optimized BeVCoO structure at the GGA+U level of DFT.

```
BeVCoO
1.0
-1.375 1.413 5.296
1.375 -1.413 5.296
1.375 1.413 -5.296
Be V Co O
1 1 1 1
Cartesian
0.000 0.000 0.000
0.000 0.000 2.836
0.000 0.000 6.617
0.000 1.413 4.422
```

Values from the calculation:
Fermi-level density of states: 1.49 states/eV/f.u.

---

Which of them is most stable? Easy: a.